This record from OQMD describes an optimized crystal structure of ZrCuAu. The functional is PBE-GGA.

The structure belongs to space group P4/nmm (No. 129, origin choice 2); the cell edges are 3.378, 3.378 and 9.329 Å and the angles 90.00°, 90.00° and 90.00°. Symmetry generates all atoms from Zr at (0.250, 0.250, 0.106), Cu at (0.250, 0.250, 0.729) and Au at (0.250, 0.250, 0.412).

For the energy of formation, the calculation gives -0.50 eV/f.u. For the excess energy over the best structure of this formula in the dataset, the calculation gives 0.58 eV per formula unit.


This record from OQMD describes an optimized crystal structure of Nb4TlZnN2. The functional is PBE-GGA.

The structure belongs to space group P-6m2 (No. 187); the cell edges are 3.1905, 3.1905 and 13.8814 Å and the angles 90.00°, 90.00° and 120.00°. Symmetry generates all atoms from Nb at (0.0000, 0.0000, 0.1567), Nb at (0.6667, 0.3333, 0.3228), Tl at (0.0000, 0.0000, 0.5000), Zn at (0.6667, 0.3333, 0.0000) and N at (0.3333, 0.6667, 0.2390).


This record from OQMD describes an optimized crystal structure of ReTcGe. The functional is PBE-GGA.

The structure belongs to space group F-43m (No. 216); the cell edges are 5.894, 5.894 and 5.894 Å and the angles 90.00°, 90.00° and 90.00°. Symmetry generates all atoms from Re at (0.000, 0.000, 0.000), Tc at (0.250, 0.250, 0.750) and Ge at (0.000, 0.000, 0.500).

For the excess energy over the best structure of this formula in the dataset, the calculation gives 0.00 eV per formula unit.


This record from OQMD describes an optimized crystal structure of HfCuPt. The functional is PBE-GGA.

The structure belongs to space group F-43m (No. 216); the cell edges are 6.136, 6.136 and 6.136 Å and the angles 90.00°, 90.00° and 90.00°. Symmetry generates all atoms from Hf at (0.000, 0.000, 0.000), Cu at (0.000, 0.000, 0.500) and Pt at (0.250, 0.250, 0.750).

For the energy of formation, the calculation gives -1.38 eV/f.u. For the excess energy over the best structure of this formula in the dataset, the calculation gives 0.90 eV per formula unit.


This record from OQMD describes an optimized crystal structure of InCuHg. The functional is PBE-GGA.

The structure belongs to space group F-43m (No. 216); the cell edges are 6.346, 6.346 and 6.346 Å and the angles 90.00°, 90.00° and 90.00°. Symmetry generates all atoms from In at (0.000, 0.000, 0.000), Cu at (0.250, 0.250, 0.750) and Hg at (0.000, 0.000, 0.500).


This record from OQMD describes an optimized crystal structure of Li2Zn2CdInAu2. The functional is PBE-GGA.

The structure belongs to space group P-4m2 (No. 115); the cell edges are 4.587, 4.587 and 6.494 Å and the angles 90.00°, 90.00° and 90.00°. Symmetry generates all atoms from Li at (0.000, 0.500, 0.247), Zn at (0.000, 0.000, 0.000), Zn at (0.500, 0.500, 0.500), Cd at (0.500, 0.500, 0.000), In at (0.000, 0.000, 0.500) and Au at (0.000, 0.500, 0.748).


This record from OQMD describes an optimized crystal structure of NaGdMgS3. The functional is PBE-GGA.

The structure belongs to space group P2_1/m (No. 11); the cell edges are 7.930, 4.059 and 10.594 Å and the angles 90.00°, 106.31° and 90.00°. Symmetry generates all atoms from Na at (0.170, 0.250, 0.133), Gd at (0.334, 0.750, 0.855), Mg at (0.056, 0.250, 0.613), S at (0.083, 0.250, 0.847), S at (0.209, 0.750, 0.576) and S at (0.427, 0.750, 0.127).

For the excess energy over the best structure of this formula in the dataset, the calculation gives 0.03 eV per formula unit.


This record from OQMD describes an optimized crystal structure of RbCuBiTe3. The functional is PBE-GGA.

The structure belongs to space group Cmcm (No. 63); the cell edges are 4.267, 16.365 and 11.892 Å and the angles 90.00°, 90.00° and 90.00°. Symmetry generates all atoms from Rb at (0.000, 0.243, 0.250), Cu at (0.000, 0.043, 0.750), Bi at (0.000, 0.500, 0.000), Te at (0.000, 0.131, 0.562) and Te at (0.000, 0.444, 0.750).


This record from OQMD describes an optimized crystal structure of SmTlZnSe3. The functional is PBE-GGA.

The structure belongs to space group Cmcm (No. 63); the cell edges are 4.171, 14.838 and 11.146 Å and the angles 90.00°, 90.00° and 90.00°. Symmetry generates all atoms from Sm at (0.000, 0.000, 0.000), Tl at (0.000, 0.248, 0.250), Zn at (0.000, 0.464, 0.750), Se at (0.000, 0.067, 0.750) and Se at (0.000, 0.370, 0.568).

For the excess energy over the best structure of this formula in the dataset, the calculation gives 0.00 eV per formula unit.


This record from OQMD describes an optimized crystal structure of GdHg2P. The functional is PBE-GGA.

The structure belongs to space group C2/m (No. 12); the cell edges are 12.670, 3.955 and 8.218 Å and the angles 90.00°, 109.06° and 90.00°. Symmetry generates all atoms from Gd at (0.000, 0.000, 0.250), Hg at (0.216, 0.000, 0.108), Hg at (0.217, 0.000, 0.608), P at (0.000, 0.500, 0.000) and P at (0.000, 0.500, 0.500).


This record from OQMD describes an optimized crystal structure of CsBaZrAu. The functional is PBE-GGA.

The structure belongs to space group F-43m (No. 216); the cell edges are 8.385, 8.385 and 8.385 Å and the angles 90.00°, 90.00° and 90.00°. Symmetry generates all atoms from Cs at (0.000, 0.000, 0.000), Ba at (0.000, 0.000, 0.500), Zr at (0.250, 0.250, 0.250) and Au at (0.250, 0.250, 0.750).

For the excess energy over the best structure of this formula in the dataset, the calculation gives 0.58 eV per formula unit.


This record from OQMD describes an optimized crystal structure of LiUPb. The functional is PBE-GGA.

The structure belongs to space group F-43m (No. 216); the cell edges are 6.675, 6.675 and 6.675 Å and the angles 90.00°, 90.00° and 90.00°. Symmetry generates all atoms from Li at (0.000, 0.000, 0.000), U at (0.250, 0.250, 0.250) and Pb at (0.250, 0.250, 0.750).


Calculated values (eV for the cell shown) of DFT total energy for the records, taken in order: -32.06, -64.29, -107.42, -84.43, -26.19, -19.12, -59.16, -80.92, -102.36, -50.77, -46.81, -61.93.